Entry 1:
The following is a DFT calculation (SCAN) of NaNiPtBr2 at its PBEsol-relaxed geometry.

Output
SG: P4/mmm
Energy relative to the elements, uncorrected (eV per atom): 0.52

Lattice parameters (Å, degrees): 4.643 4.643 4.880 90.00 90.00 90.00
Each line ends with the local moment (μB).
Atoms (fractional coordinates):
Ni 0.000 0.000 0.000  -0.29
Br 0.000 0.500 0.000  0.01
Br 0.500 0.000 0.000  0.01
Pt 0.500 0.500 0.500  0.25
Na 0.000 0.000 0.500  0.00

=====

Entry 2:
The following is a DFT calculation (SCAN) of TaHgP2 at its PBEsol-relaxed geometry.

Output
ΔH_f (0 K) (eV/atom): 0.279
SG: Immm

Lattice parameters (Å, degrees): 2.743 5.155 6.154 114.76 102.88 90.00
Atoms (fractional coordinates):
Hg 0.500 0.000 0.000
P 0.696 0.696 0.392
P 0.304 0.304 0.608
Ta 0.000 0.500 0.000

=====

Entry 3:
The following is a DFT calculation (SCAN) of Mn2SeCl at its PBEsol-relaxed geometry.

Output
Polymorph energy (0 for the lowest one) (meV per atom): 0
SG: Immm
Energy relative to the elements, uncorrected (eV per atom): -0.50

Lattice parameters (Å, degrees): 3.840 4.763 4.763 70.34 66.23 66.23
Each line ends with the local moment (μB).
Atoms (fractional coordinates):
Mn 0.243 0.757 0.757  4.23
Mn 0.757 0.243 0.243  4.23
Se 0.000 0.500 0.500  0.11
Cl 0.500 0.000 0.000  0.11

=====

Entry 4:
The following is a DFT calculation (SCAN) of Ti3PtN at its PBEsol-relaxed geometry.

Output
SG: Pnma
Energy relative to the elements, uncorrected (eV per atom): -1.47

Lattice parameters (Å, degrees): 5.744 5.769 8.078 90.00 90.00 90.00
Atoms (fractional coordinates):
N 0.000 0.500 0.000
N 0.500 0.000 0.500
N 0.500 0.000 0.000
N 0.000 0.500 0.500
Pt 0.495 0.502 0.750
Pt 0.005 0.002 0.250
Pt 0.505 0.498 0.250
Pt 0.995 0.998 0.750
Ti 0.757 0.242 0.032
Ti 0.743 0.742 0.532
Ti 0.743 0.742 0.968
Ti 0.243 0.758 0.532
Ti 0.243 0.758 0.968
Ti 0.257 0.258 0.468
Ti 0.257 0.258 0.032
Ti 0.757 0.242 0.468
Ti 0.502 0.059 0.750
Ti 0.998 0.559 0.250
Ti 0.498 0.941 0.250
Ti 0.002 0.441 0.750

=====

Entry 5:
The following is a DFT calculation (SCAN) of YBeAl2 at its PBEsol-relaxed geometry.

Output
ΔH_f (0 K) (eV/atom): -0.014
SG: I-4m2

Lattice parameters (Å, degrees): 4.211 4.211 4.986 114.98 114.98 90.00
Atoms (fractional coordinates):
Y 0.250 0.750 0.500
Be 0.500 0.500 0.000
Al 0.000 0.000 0.000
Al 0.750 0.250 0.500

=====

Entry 6:
The following is a DFT calculation (SCAN) of NaYMg2 at its PBEsol-relaxed geometry.

Output
ΔH_f (0 K) (eV/atom): 0.353
SG: I-42d

Lattice parameters (Å, degrees): 6.379 6.736 6.736 77.04 61.74 61.74
Atoms (fractional coordinates):
Y 0.750 0.500 0.500
Y 0.000 0.000 0.000
Na 0.250 0.500 0.500
Na 0.500 0.000 0.000
Mg 0.144 0.981 0.481
Mg 0.606 0.019 0.519
Mg 0.375 0.481 0.019
Mg 0.875 0.519 0.981

=====

| no. | uncorrected energy (eV for the cell shown) |
| --- | --- |
| 1 | -126.88 |
| 2 | -154.43 |
| 3 | -66.58 |
| 4 | -539.65 |
| 5 | -47.76 |
| 6 | -81.19 |